# 1
The following is a DFT calculation (PBE) of CsSrAu2 after structural relaxation.

Cell lengths 5.7312, 5.7312, 5.7312 Å; angles 60.00, 60.00, 60.00 degrees
Fractional positions:
Cs1 0.0000 0.0000 0.0000
Sr1 0.5000 0.5000 0.5000
Au1 0.2500 0.2500 0.2500
Au2 0.7500 0.7500 0.7500

Calculated values
ΔE_f	-363	meV/atom
SG	No. 225
distance to the lowest polymorph of the same formula	173	meV per atom
total magnetic moment	0.0000	μB/atom

# 2
The following is a DFT calculation (PBE) of CsSrAu2 after structural relaxation.

Cell lengths 4.1123, 4.1123, 8.3054 Å; angles 90.00, 90.00, 90.00 degrees
Fractional positions:
Cs1 0.0000 0.0000 0.0000
Sr1 0.0000 0.0000 0.5000
Au1 0.5000 0.5000 0.3189
Au2 0.5000 0.5000 0.6811

Calculated values
ΔE_f	-536	meV/atom
SG	No. 123
distance to the lowest polymorph of the same formula	0	meV per atom
total magnetic moment	0.0000	μB/atom

# 3
The following is a DFT calculation (PBE) of CsSr2Au after structural relaxation.

Cell lengths 5.9873, 5.9873, 5.9873 Å; angles 60.00, 60.00, 60.00 degrees
Fractional positions:
Cs1 0.0000 0.0000 0.0000
Sr1 0.2500 0.2500 0.2500
Sr2 0.7500 0.7500 0.7500
Au1 0.5000 0.5000 0.5000

Calculated values
ΔE_f	17	meV/atom
SG	No. 225
distance to the lowest polymorph of the same formula	337	meV per atom
total magnetic moment	0.0000	μB/atom

# 4
The following is a DFT calculation (PBE) of CsSrAu2 after structural relaxation.

Cell lengths 5.7927, 5.7927, 3.9589 Å; angles 90.00, 90.00, 90.00 degrees
Fractional positions:
Cs1 0.0000 0.0000 0.0000
Sr1 0.5000 0.5000 0.0000
Au1 0.0000 0.5000 0.5000
Au2 0.5000 0.0000 0.5000

Calculated values
ΔE_f	-402	meV/atom
SG	No. 123
distance to the lowest polymorph of the same formula	133	meV per atom
total magnetic moment	0.0000	μB/atom

How do the records compare in D(E_F)? In the order shown, they have 0.482; 0.418; 1.102; 0.505 states/eV per atom.